DFT (PBEsol) results for crystalline ZrTiRh2 at its relaxed geometry.

a b c (Å): 4.475 4.475 4.475
angles (deg): 60.00 60.00 60.00
Atoms (fractional coordinates):
1 Zr 0.000 0.000 0.000
2 Ti 0.500 0.500 0.500
3 Rh 0.250 0.250 0.250
4 Rh 0.750 0.750 0.750

## Properties
space group = Fm-3m
volume = 15.838 Å³/atom
ΔE_f = -0.70 eV per atom
Fermi-level density of states = 4.38 states/eV/f.u.

DFT (PBEsol) results for crystalline Tl2Rh at its relaxed geometry.

a b c (Å): 9.259 9.259 4.557
angles (deg): 90.00 90.00 160.64
Atoms (fractional coordinates):
1 Tl 0.069 0.931 0.750
2 Tl 0.199 0.801 0.250
3 Tl 0.801 0.199 0.750
4 Tl 0.931 0.069 0.250
5 Rh 0.435 0.565 0.750
6 Rh 0.565 0.435 0.250

## Properties
space group = Cmcm
volume = 21.586 Å³/atom
ΔE_f = 0.07 eV per atom
Fermi-level density of states = 1.18 states/eV/f.u.

DFT (PBEsol) results for crystalline Tl3Rh at its relaxed geometry.

a b c (Å): 7.410 8.311 5.836
angles (deg): 90.00 90.00 90.00
Atoms (fractional coordinates):
1 Tl 0.022 0.250 0.116
2 Tl 0.179 0.059 0.636
3 Tl 0.179 0.441 0.636
4 Tl 0.321 0.559 0.136
5 Tl 0.321 0.941 0.136
6 Tl 0.478 0.750 0.616
7 Tl 0.522 0.250 0.384
8 Tl 0.679 0.059 0.864
9 Tl 0.679 0.441 0.864
10 Tl 0.821 0.559 0.364
11 Tl 0.821 0.941 0.364
12 Tl 0.978 0.750 0.884
13 Rh 0.133 0.750 0.451
14 Rh 0.367 0.250 0.951
15 Rh 0.633 0.750 0.049
16 Rh 0.867 0.250 0.549

## Properties
space group = Pnma
volume = 22.464 Å³/atom
ΔE_f = 0.06 eV per atom
excess energy over the best structure of this formula in the dataset = 0.00 kcal/mol of atoms
Fermi-level density of states = 1.98 states/eV/f.u.

DFT (PBEsol) results for crystalline Tl3Rh at its relaxed geometry.

a b c (Å): 5.425 5.425 5.425
angles (deg): 140.24 82.09 111.64
Atoms (fractional coordinates):
1 Tl 0.000 0.000 0.000
2 Tl 0.244 0.438 0.806
3 Tl 0.631 0.438 0.194
4 Rh 0.670 0.170 0.500

## Properties
space group = Imm2
volume = 23.000 Å³/atom
ΔE_f = 0.12 eV per atom
excess energy over the best structure of this formula in the dataset = 1.37 kcal/mol of atoms
Fermi-level density of states = 1.99 states/eV/f.u.

DFT (PBEsol) results for crystalline Tl3Rh at its relaxed geometry.

a b c (Å): 3.215 4.342 7.078
angles (deg): 90.00 90.00 90.00
Atoms (fractional coordinates):
1 Tl 0.000 0.000 0.000
2 Tl 0.000 0.500 0.344
3 Tl 0.500 0.500 0.734
4 Rh 0.500 0.000 0.332

## Properties
space group = Pmm2
volume = 24.700 Å³/atom
ΔE_f = 0.21 eV per atom
excess energy over the best structure of this formula in the dataset = 3.53 kcal/mol of atoms
Fermi-level density of states = 2.60 states/eV/f.u.

DFT (PBEsol) results for crystalline TlRh at its relaxed geometry.

a b c (Å): 3.036 3.036 8.235
angles (deg): 90.00 90.00 90.00
Atoms (fractional coordinates):
1 Tl 0.250 0.250 0.170
2 Tl 0.750 0.750 0.830
3 Rh 0.250 0.250 0.593
4 Rh 0.750 0.750 0.407

## Properties
space group = P4/nmm
volume = 18.974 Å³/atom
ΔE_f = 0.27 eV per atom
Fermi-level density of states = 2.09 states/eV/f.u.

DFT (PBEsol) results for crystalline Tl2Rh at its relaxed geometry.

a b c (Å): 7.015 3.705 9.636
angles (deg): 90.00 90.00 90.00
Atoms (fractional coordinates):
1 Tl 0.005 0.250 0.189
2 Tl 0.176 0.750 0.452
3 Tl 0.324 0.250 0.952
4 Tl 0.495 0.750 0.689
5 Tl 0.505 0.250 0.311
6 Tl 0.676 0.750 0.048
7 Tl 0.824 0.250 0.548
8 Tl 0.995 0.750 0.811
9 Rh 0.208 0.250 0.671
10 Rh 0.292 0.750 0.171
11 Rh 0.708 0.250 0.829
12 Rh 0.792 0.750 0.329

## Properties
space group = Pnma
volume = 20.870 Å³/atom
ΔE_f = 0.07 eV per atom
Fermi-level density of states = 1.53 states/eV/f.u.

DFT (PBEsol) results for crystalline Tl3Rh at its relaxed geometry.

a b c (Å): 7.340 7.340 7.340
angles (deg): 155.85 143.55 44.21
Atoms (fractional coordinates):
1 Tl 0.000 0.000 0.000
2 Tl 0.319 0.819 0.500
3 Tl 0.681 0.181 0.500
4 Rh 0.500 0.500 0.000

## Properties
space group = Immm
volume = 23.972 Å³/atom
ΔE_f = 0.07 eV per atom
excess energy over the best structure of this formula in the dataset = 0.21 kcal/mol of atoms
Fermi-level density of states = 1.77 states/eV/f.u.

DFT (PBEsol) results for crystalline Tl2Rh3 at its relaxed geometry.

a b c (Å): 7.837 7.837 7.837
angles (deg): 157.76 153.13 35.15
Atoms (fractional coordinates):
1 Tl 0.105 0.105 0.000
2 Tl 0.895 0.895 0.000
3 Rh 0.299 0.299 0.000
4 Rh 0.500 0.500 0.000
5 Rh 0.701 0.701 0.000

## Properties
space group = Immm
volume = 16.446 Å³/atom
ΔE_f = 0.21 eV per atom
excess energy over the best structure of this formula in the dataset = 0.00 kcal/mol of atoms
Fermi-level density of states = 5.69 states/eV/f.u.

DFT (PBEsol) results for crystalline Tl3Rh2 at its relaxed geometry.

a b c (Å): 4.627 4.627 5.499
angles (deg): 90.00 90.00 120.00
Atoms (fractional coordinates):
1 Tl 0.000 0.000 0.000
2 Tl 0.333 0.667 0.363
3 Tl 0.667 0.333 0.637
4 Rh 0.333 0.667 0.866
5 Rh 0.667 0.333 0.134

## Properties
space group = P-3m1
volume = 20.392 Å³/atom
ΔE_f = 0.09 eV per atom
Fermi-level density of states = 3.94 states/eV/f.u.

DFT (PBEsol) results for crystalline Tl2Rh at its relaxed geometry.

a b c (Å): 6.903 6.903 3.117
angles (deg): 90.00 90.00 90.00
Atoms (fractional coordinates):
1 Tl 0.228 0.228 0.000
2 Tl 0.272 0.728 0.500
3 Tl 0.728 0.272 0.500
4 Tl 0.772 0.772 0.000
5 Rh 0.000 0.000 0.500
6 Rh 0.500 0.500 0.000

## Properties
space group = P4_2/mnm
volume = 24.751 Å³/atom
ΔE_f = 0.11 eV per atom
Fermi-level density of states = 1.20 states/eV/f.u.

DFT (PBEsol) results for crystalline Tl2Rh3 at its relaxed geometry.

a b c (Å): 5.420 5.420 5.420
angles (deg): 48.95 48.95 48.95
Atoms (fractional coordinates):
1 Tl 0.100 0.100 0.100
2 Tl 0.900 0.900 0.900
3 Rh 0.298 0.298 0.298
4 Rh 0.500 0.500 0.500
5 Rh 0.702 0.702 0.702

## Properties
space group = R-3m
volume = 16.625 Å³/atom
ΔE_f = 0.30 eV per atom
excess energy over the best structure of this formula in the dataset = 2.15 kcal/mol of atoms
Fermi-level density of states = 8.54 states/eV/f.u.

ΔE_f of number 11 (Tl2Rh)? 0.11 eV per atom

Which value of ΔE_f does entry 12 give? 0.30 eV per atom